# 1
TaPBr3 | the Alexandria database | GGA-PBEsol | relaxed; space-group type = Pm-3m (221)
1.0
-1.2689 4.4664 -1.8634
-1.6170 -2.2070 -4.1887
-4.5613 -0.4601 2.0033
Ta P Br
1 1 3
Direct
0.5000 0.5000 0.5000
0.0000 0.0000 0.0000
0.5000 0.0000 0.0000
0.0000 0.5000 0.0000
0.0000 0.0000 0.5000



# 2
CsNd2Ag3Te5 | the Alexandria database | GGA-PBEsol | relaxed; space-group type = Cmcm (63)
1.0
-3.8158 2.4859 -0.2935
-1.0904 -5.1003 6.4561
7.4165 12.7179 11.2997
Ag Te Nd Cs
6 10 4 2
Direct
0.8403 0.6807 0.7500
0.0887 0.1775 0.5270
0.9113 0.8225 0.4730
0.1597 0.3193 0.2500
0.9113 0.8225 0.0270
0.0887 0.1775 0.9730
0.3288 0.6575 0.0752
0.6712 0.3425 0.5752
0.0569 0.1138 0.1209
0.3288 0.6575 0.4248
0.7558 0.5116 0.2500
0.9431 0.8862 0.8791
0.0569 0.1138 0.3791
0.2442 0.4884 0.7500
0.9431 0.8862 0.6209
0.6712 0.3425 0.9248
0.3101 0.6201 0.9075
0.6899 0.3799 0.0925
0.3101 0.6201 0.5925
0.6899 0.3799 0.4075
0.4418 0.8836 0.2500
0.5582 0.1164 0.7500



# 3
MgMoAsBr2 | the Alexandria database | GGA-PBEsol | relaxed; space-group type = P4/mmm (123)
1.0
4.8776 0.0000 0.0000
0.0000 5.1204 0.0000
0.0000 0.0000 5.1204
Br Mg Mo As
2 1 1 1
Direct
0.0000 0.0000 0.5000
0.0000 0.5000 0.0000
0.5000 0.5000 0.5000
0.0000 0.0000 0.0000
0.5000 0.0000 0.0000



Formation energy from raw total energies: 1.12 -0.89 0.18 (eV/atom)